Entry 1:
First-principles (PBE) data for an optimized crystal structure of HfThZn, as listed in Alexandria.

## Properties
total magnetization: 0.731 μB per formula unit
mass density: 10.817 g cm⁻³
energy: -5.89 eV/atom
formation energy: 0.33 eV per atom

abc: 5.288 5.288 6.762
angles: 66.98 66.98 60.00
Each line ends with the local moment (μB).
Sites, in units of the cell vectors:
Hf  0.852  0.852  0.445  0.47
Th  0.661  0.661  0.016  0.01
Th  0.339  0.339  0.984  0.01
Zn  0.000  0.000  0.000  0.02
Zn  0.500  0.500  0.500  0.00
Hf  0.148  0.148  0.555  0.47



Entry 2:
First-principles (PBE) data for an optimized crystal structure of TbNd4Er2Th, as listed in Alexandria.

## Properties
total magnetization: 0.000 μB per formula unit
mass density: 8.121 g cm⁻³
energy: -5.00 eV/atom
formation energy: 0.03 eV per atom

abc: 5.104 5.095 11.439
angles: 63.53 90.00 90.00
Sites, in units of the cell vectors:
Nd  0.000  0.249  0.251
Nd  0.500  0.748  0.252
Er  0.500  0.000  0.500
Nd  0.000  0.751  0.749
Er  0.000  0.000  0.000
Th  0.000  0.500  0.500
Nd  0.500  0.252  0.748
Tb  0.500  0.500  0.000



Entry 3:
First-principles (PBE) data for an optimized crystal structure of Sr2Co2P, as listed in Alexandria.

## Properties
total magnetization: 2.733 μB per formula unit
mass density: 4.632 g cm⁻³
energy: -4.51 eV/atom
formation energy: 0.08 eV per atom

abc: 5.353 5.353 5.353
angles: 113.84 113.84 101.04
Each line ends with the local moment (μB).
Sites, in units of the cell vectors:
Co  0.671  0.671  0.000  1.43
Sr  0.750  0.250  0.500  -0.04
Co  0.329  0.329  0.000  1.43
P  0.000  0.000  0.000  0.06
Sr  0.250  0.750  0.500  -0.04



Entry 4:
First-principles (PBE) data for an optimized crystal structure of LaZr2HgH, as listed in Alexandria.

## Properties
total magnetization: 0.000 μB per formula unit
mass density: 7.401 g cm⁻³
energy: -4.21 eV/atom

abc: 5.528 3.839 5.528
angles: 90.00 90.00 90.00
Sites, in units of the cell vectors:
Hg  0.500  0.500  0.500
Zr  0.500  0.000  0.000
Zr  0.000  0.000  0.500
H  0.000  0.500  0.000
La  0.000  0.000  0.000



Entry 5:
First-principles (PBE) data for an optimized crystal structure of SrLaNi2, as listed in Alexandria.

## Properties
total magnetization: 0.000 μB per formula unit
mass density: 5.695 g cm⁻³
energy: -4.45 eV/atom
formation energy: 0.09 eV per atom

abc: 3.514 3.514 8.123
angles: 90.00 90.00 90.00
Sites, in units of the cell vectors:
Sr  0.000  0.000  0.415
Ni  0.000  0.000  0.059
Ni  0.500  0.500  0.165
La  0.500  0.500  0.861



Entry 6:
First-principles (PBE) data for an optimized crystal structure of KNaIn2I8, as listed in Alexandria.

## Properties
total magnetization: 0.000 μB per formula unit
energy relative to the elements, uncorrected: -75.4 kJ/mol of atoms
mass density: 2.906 g cm⁻³
energy: -2.47 eV/atom

abc: 10.258 10.258 10.258
angles: 100.16 100.16 130.33
Sites, in units of the cell vectors:
I  0.705  0.043  0.661
I  0.382  0.043  0.339
I  0.856  0.685  0.171
In  0.750  0.250  0.500
I  0.957  0.295  0.339
I  0.315  0.144  0.829
I  0.315  0.485  0.171
Na  0.250  0.750  0.500
In  0.500  0.500  0.000
I  0.957  0.618  0.661
I  0.515  0.685  0.829
K  0.000  0.000  0.000



Entry 7:
First-principles (PBE) data for an optimized crystal structure of TaNiIrRh, as listed in Alexandria.

## Properties
total magnetization: 0.002 μB per formula unit
mass density: 15.234 g cm⁻³
energy: -8.80 eV/atom
formation energy: -0.34 eV per atom

abc: 4.352 4.352 4.352
angles: 60.00 60.00 60.00
Sites, in units of the cell vectors:
Rh  0.750  0.750  0.750
Ni  0.500  0.500  0.500
Ta  0.000  0.000  0.000
Ir  0.250  0.250  0.250



Entry 8:
First-principles (PBE) data for an optimized crystal structure of Ac2DyHg, as listed in Alexandria.

## Properties
total magnetization: 0.000 μB per formula unit
mass density: 9.391 g cm⁻³
energy: -3.47 eV/atom
formation energy: -0.19 eV per atom

abc: 3.964 3.964 9.196
angles: 90.00 90.00 90.00
Sites, in units of the cell vectors:
Ac  0.000  0.000  0.226
Hg  0.500  0.500  0.000
Dy  0.500  0.500  0.500
Ac  0.000  0.000  0.774



total magnetization of number 4 (LaZr2HgH)? 0.000 μB per formula unit